Entry 1:
DFT (PBE-GGA) results for a relaxed BaGe2Se2 crystal.

It has space group I4/mmm (No. 139), with a = 5.486 Å, b = 5.486 Å, c = 9.134 Å, α = 90.00°, β = 90.00° and γ = 90.00°. The distinct sites, in fractional coordinates, are Ba at (0.000, 0.000, 0.000), Ge at (0.000, 0.000, 0.348) and Se at (0.000, 0.500, 0.250).

For the offset from the most stable computed form, the calculation gives 0.0 meV/atom. The energy is -4.25 eV per atom. As for the uncorrected formation energy: -627 meV per atom. The calculation puts the density at 5.322 g/cm3.

---

Entry 2:
DFT (PBE-GGA) results for a relaxed Ba3GeSe4 crystal.

It has space group Pmn2_1 (No. 31), with a = 12.981 Å, b = 6.623 Å, c = 6.621 Å, α = 90.00°, β = 90.00° and γ = 90.00°. The distinct sites, in fractional coordinates, are Ba at (0.000, 0.244, 0.000), Ba at (0.250, 0.248, 0.495), Ge at (0.000, 0.789, 0.453), Se at (0.000, 0.173, 0.494), Se at (0.000, 0.751, 0.070) and Se at (0.243, 0.749, 0.493).

The energy is -4.61 eV per atom. As for the uncorrected formation energy: -1570 meV per atom. The calculation puts the density at 4.670 g/cm3.

---

Entry 3:
DFT (PBE-GGA) results for a relaxed BaGeSe3 crystal.

It has space group P2_1/c (No. 14), with a = 9.709 Å, b = 6.541 Å, c = 12.788 Å, α = 90.00°, β = 131.17° and γ = 90.00°. The distinct sites, in fractional coordinates, are Ba at (0.000, 0.250, 0.131), Ge at (0.500, 0.172, 0.087), Se at (0.201, 0.222, 0.485), Se at (0.201, 0.722, 0.716) and Se at (0.500, 0.200, 0.896).

For the offset from the most stable computed form, the calculation gives 0.0 meV/atom. The energy is -4.40 eV per atom. As for the uncorrected formation energy: -998 meV per atom. The calculation puts the density at 4.855 g/cm3.